# LaFeN2F GGA+U optimized geometry
# **Calculated volume**: 63.2 Å³/cell
# **Polymorph energy (0 for the lowest one)**: 0 meV per atom
# **N(E_F)**: 0.87 states/eV/cell
data_LaFeN2F
_chemical_formula_sum 'La1 Fe1 N2 F1'
_cell_length_a 3.9559
_cell_length_b 3.9559
_cell_length_c 4.0386
_cell_angle_alpha 90.00
_cell_angle_beta 90.00
_cell_angle_gamma 90.00
_symmetry_space_group_name_H-M 'P 1'
_symmetry_Int_Tables_number 1
loop_
_symmetry_equiv_pos_as_xyz
'x,y,z'
loop_
_atom_site_label
_atom_site_type_symbol
_atom_site_fract_x
_atom_site_fract_y
_atom_site_fract_z
N1 N 0.0000 0.5000 0.0000
N2 N 0.5000 0.0000 0.0000
F1 F 0.0000 0.0000 0.5000
Fe1 Fe 0.0000 0.0000 0.0000
La1 La 0.5000 0.5000 0.5000